{"formula": "Ho2NpCrO8", "functional": "PBE with a Hubbard U", "state": "relaxed", "e_tot_ry_per_atom": -0.6294, "dos_ef_per_ev_atom": 0.194, "mass_density_g_cm3": 7.48, "lattice": [[4.9856, -0.1073, -0.0028], [-0.0901, 4.9832, -0.0055], [0.0040, 0.0073, 6.6764]], "species": ["Ho", "Ho", "Np", "Cr", "O", "O", "O", "O", "O", "O", "O", "O"], "frac_coords": [[0.5000, 0.5000, 0.7352], [0.5000, 0.5000, 0.2648], [0.0000, 0.0000, 0.0000], [0.0000, 0.0000, 0.5000], [0.1775, 0.8218, 0.2420], [0.7106, 0.7115, 0.0000], [0.8226, 0.1782, 0.2420], [0.8225, 0.1782, 0.7580], [0.2894, 0.2885, 0.0000], [0.1774, 0.8218, 0.7580], [0.7127, 0.7134, 0.5000], [0.2873, 0.2866, 0.5000]]}